Record 1
A plane-wave DFT calculation with GGA-PBE was carried out for an optimized crystal structure of YS3I.

a b c (Å): 5.0788 5.0788 5.0788
angles (deg): 90.00 90.00 90.00
Sites, in units of the cell vectors:
1 I 0.0000 0.0000 0.0000
2 Y 0.5000 0.5000 0.5000
3 S 0.0000 0.5000 0.0000
4 S 0.0000 0.0000 0.5000
5 S 0.5000 0.0000 0.0000

The calculation puts the uncorrected formation energy at 0.14 eV/atom. The calculation puts the total magnetization at 0.00 μB per cell. Its energy above the most stable polymorph in this dataset is 298 meV/atom. Its space-group type is No. 221. Its total energy is -19.7 eV/cell.

=====

Record 2
A plane-wave DFT calculation with GGA-PBE was carried out for an optimized crystal structure of YS6I2.

a b c (Å): 4.4023 9.1826 8.7767
angles (deg): 117.57 92.55 92.83
Last column: magnetic moment on the atom in μB.
Sites, in units of the cell vectors:
1 Y 0.0000 0.0000 0.0000  0.03
2 S 0.9094 0.5329 0.2883  0.17
3 S 0.0906 0.4671 0.7117  0.17
4 S 0.8699 0.7046 0.7033  0.08
5 S 0.9134 0.2778 0.4944  0.00
6 S 0.0866 0.7222 0.5056  0.00
7 S 0.1301 0.2954 0.2967  0.08
8 I 0.5041 0.8610 0.1380  0.01
9 I 0.4959 0.1390 0.8620  0.01

The calculation puts the uncorrected formation energy at -0.42 eV/atom. The calculation puts the total magnetization at 0.93 μB per cell. Its space-group type is No. 2. Its total energy is -38.1 eV/cell.